[1]
VASP calculation (GGA-PBE) on a relaxed structure of LaAsH2Pd.

Computed properties:
Uncorrected energy: -100.0 eV for the cell shown
DOS at the Fermi energy: 2.6 states/eV per cell

Cell: 4.154 10.540 6.688 Å, 90.00 90.00 90.00°
Space group Cmcm (No. 63)
Symmetry-distinct sites (fractional):
1 La 0.000 0.213 0.250 [4 per cell]
2 As 0.000 0.065 0.750 [4 per cell]
3 H 0.000 0.340 0.561 [8 per cell]
4 Pd 0.000 0.500 0.000 [4 per cell]

[2]
VASP calculation (GGA-PBE) on a relaxed structure of Ag3SnC.

Computed properties:
DFT formation energy: 3.84 eV per formula unit
DOS at the Fermi energy: 2.7 states/eV per cell

Cell: 4.487 4.487 4.487 Å, 90.00 90.00 90.00°
Space group Pm-3m (No. 221)
Symmetry-distinct sites (fractional):
1 Ag 0.000 0.000 0.500 [3 per cell]
2 Sn 0.500 0.500 0.500 [1 per cell]
3 C 0.000 0.000 0.000 [1 per cell]

[3]
VASP calculation (GGA-PBE) on a relaxed structure of AcPmGeI.

Computed properties:
ΔE_f (raw): -69.7 kJ per mole of atoms
DOS at the Fermi energy: 15.1 states/eV per cell

Cell: 7.826 7.826 7.826 Å, 90.00 90.00 90.00°
Space group F-43m (No. 216)
Symmetry-distinct sites (fractional):
1 Ac 0.000 0.000 0.000 [4 per cell]
2 Pm 0.000 0.000 0.500 [4 per cell]
3 Ge 0.250 0.250 0.250 [4 per cell]
4 I 0.250 0.250 0.750 [4 per cell]

[4]
VASP calculation (GGA-PBE) on a relaxed structure of Nd3Tl4Zn2.

Computed properties:
DFT formation energy: -2.75 eV per formula unit
DOS at the Fermi energy: 7.6 states/eV per cell

Cell: 11.641 4.852 9.194 Å, 90.00 112.80 90.00°
Space group C2/m (No. 12)
Symmetry-distinct sites (fractional):
1 Nd 0.000 0.000 0.000 [2 per cell]
2 Nd 0.169 0.500 0.667 [4 per cell]
3 Tl 0.084 0.000 0.411 [4 per cell]
4 Tl 0.189 0.500 0.035 [4 per cell]
5 Zn 0.088 0.500 0.266 [4 per cell]

[5]
VASP calculation (GGA-PBE) on a relaxed structure of Nd6Ge2I3Br.

Computed properties:
ΔE_f (raw): -98.1 kJ per mole of atoms
DOS at the Fermi energy: 11.4 states/eV per cell

Cell: 7.544 13.082 8.043 Å, 90.00 108.24 90.00°
Space group C2/m (No. 12)
Symmetry-distinct sites (fractional):
1 Nd 0.221 0.000 0.198 [4 per cell]
2 Nd 0.239 0.327 0.199 [8 per cell]
3 Ge 0.000 0.167 0.000 [4 per cell]
4 I 0.000 0.000 0.500 [2 per cell]
5 I 0.000 0.333 0.500 [4 per cell]
6 Br 0.000 0.500 0.000 [2 per cell]

[6]
VASP calculation (GGA-PBE) on a relaxed structure of Pm2InGa12.

Computed properties:
DFT formation energy: -4.00 eV per formula unit
DOS at the Fermi energy: 12.6 states/eV per cell

Cell: 5.971 5.971 17.509 Å, 90.00 90.00 90.00°
Space group P4/nbm (No. 125, origin choice 2)
Symmetry-distinct sites (fractional):
1 Pm 0.250 0.750 0.220 [4 per cell]
2 In 0.250 0.750 0.500 [2 per cell]
3 Ga 0.002 0.502 0.383 [8 per cell]
4 Ga 0.069 0.569 0.935 [8 per cell]
5 Ga 0.250 0.250 0.149 [4 per cell]
6 Ga 0.250 0.250 0.291 [4 per cell]